An optimized crystal structure of SrEr2ReO8. Source: the Alexandria database, functional PBE-GGA.

Cell lengths 4.965, 7.127, 4.996 Å; angles 90.00, 90.43, 90.00 degrees
Positions (direct):
Sr 0.000 0.000 0.000
Er 0.500 0.267 0.500
Er 0.500 0.733 0.500
Re 0.000 0.500 0.000
O 0.192 0.309 0.821
O 0.192 0.691 0.821
O 0.270 0.500 0.282
O 0.325 0.000 0.357
O 0.675 0.000 0.643
O 0.730 0.500 0.718
O 0.808 0.309 0.179
O 0.808 0.691 0.179

E	-0.570	Ry per atom
N(E_F)	0.04	states/eV per atom
crystal system	monoclinic
space-group type	No. 10